# LiMnF3 (GGA+U, optimized geometry)
# Energy above the most stable polymorph in this dataset ... 0.0133 eV/atom
# Total DFT energy (no corrections) ... -28.8 eV/f.u.
# M_tot ... 20.00 μB per cell
data_LiMnF3
_chemical_formula_sum 'Li4 Mn4 F12'
_space_group_name_H-M_alt 'P n m a'
_space_group_IT_number 62
_cell_length_a 5.433
_cell_length_b 7.788
_cell_length_c 5.081
_cell_angle_alpha 90.00
_cell_angle_beta 90.00
_cell_angle_gamma 90.00
loop_
_space_group_symop_operation_xyz
'x,y,z'
'-x,-y,-z'
'-x+1/2,-y,z+1/2'
'x+1/2,y,-z+1/2'
'x+1/2,-y+1/2,-z+1/2'
'-x+1/2,y+1/2,z+1/2'
'-x,y+1/2,-z'
'x,-y+1/2,z'
loop_
_atom_site_label
_atom_site_type_symbol
_atom_site_fract_x
_atom_site_fract_y
_atom_site_fract_z
Li1 Li 0.000 0.000 0.000
Mn1 Mn 0.079 0.250 0.464
F1 F 0.066 0.750 0.148
F2 F 0.193 0.577 0.693